FeOs2Pt after structural relaxation. Source: Alexandria via LeMat-Bulk, functional GGA-PBE.

CIF file:
```
data_FeOs2Pt
_cell_length_a 4.329
_cell_length_b 4.329
_cell_length_c 4.329
_cell_angle_alpha 60.00
_cell_angle_beta 60.00
_cell_angle_gamma 60.00
_symmetry_space_group_name_H-M 'P 1'
_symmetry_Int_Tables_number 1
loop_
_symmetry_equiv_pos_as_xyz
'x,y,z'
loop_
_atom_site_label
_atom_site_type_symbol
_atom_site_fract_x
_atom_site_fract_y
_atom_site_fract_z
_atom_site_occupancy
Os1 Os 0.250 0.250 0.250 1
Os2 Os 0.750 0.750 0.750 1
Fe1 Fe 0.000 0.000 0.000 1
Pt1 Pt 0.500 0.500 0.500 1
```

energy of formation from the pure elements: 178 kJ/mol of formula units